No. 1
This record from Alexandria via LeMat-Bulk describes a relaxed structure of Li5Nd12Mg3. The functional is PBE.

The calculation puts the formation energy at 609 meV/atom. The total moment comes out at 0.00 μB per formula unit.

The structure in CIF format:
```
data_Li5Nd12Mg3
_symmetry_space_group_name_H-M 'I a -3 d'
_symmetry_Int_Tables_number 230
_symmetry_space_group_name_Hall '-I 4bd 2c 3'
_cell_length_a 17.9418
_cell_length_b 17.9418
_cell_length_c 17.9418
_cell_angle_alpha 90.00
_cell_angle_beta 90.00
_cell_angle_gamma 90.00
loop_
_atom_site_label
_atom_site_fract_x
_atom_site_fract_y
_atom_site_fract_z
Li1 0.0000 0.0000 0.0000
Li2 0.0000 0.2500 0.3750
Nd1 0.0143 0.0716 0.6476
Mg1 0.0000 0.2500 0.1250
```

No. 2
This record from Alexandria via LeMat-Bulk describes a relaxed structure of AlV5W4. The functional is PBE.

The calculation puts the formation energy at -105 meV/atom. The total moment comes out at 0.00 μB per formula unit.

The structure in CIF format:
```
data_AlV5W4
_symmetry_space_group_name_H-M 'P 4/m m m'
_symmetry_Int_Tables_number 123
_symmetry_space_group_name_Hall '-P 4 2'
_cell_length_a 3.1201
_cell_length_b 3.1201
_cell_length_c 15.0493
_cell_angle_alpha 90.00
_cell_angle_beta 90.00
_cell_angle_gamma 90.00
loop_
_atom_site_label
_atom_site_fract_x
_atom_site_fract_y
_atom_site_fract_z
Al1 0.0000 0.0000 0.0000
V1 0.5000 0.5000 0.1000
V2 0.5000 0.5000 0.2973
V3 0.5000 0.5000 0.5000
W1 0.0000 0.0000 0.1936
W2 0.0000 0.0000 0.3984
```

No. 3
This record from Alexandria via LeMat-Bulk describes a relaxed structure of CdBiBr3. The functional is PBE.

The formation energy without anion corrections comes out at -0.3542 eV per atom. The total moment comes out at 0.18 μB per formula unit.

The structure in CIF format:
```
data_CdBiBr3
_symmetry_space_group_name_H-M 'P m -3 m'
_symmetry_Int_Tables_number 221
_symmetry_space_group_name_Hall '-P 4 2 3'
_cell_length_a 5.7783
_cell_length_b 5.7783
_cell_length_c 5.7783
_cell_angle_alpha 90.00
_cell_angle_beta 90.00
_cell_angle_gamma 90.00
loop_
_atom_site_label
_atom_site_fract_x
_atom_site_fract_y
_atom_site_fract_z
Cd1 0.0000 0.0000 0.0000
Bi1 0.5000 0.5000 0.5000
Br1 0.0000 0.5000 0.5000
```

No. 4
This record from Alexandria via LeMat-Bulk describes a relaxed structure of Nd2DyZr. The functional is PBE.

The calculation puts the formation energy at 127 meV/atom. The total moment comes out at 0.00 μB per formula unit.

The structure in CIF format:
```
data_Nd2DyZr
_symmetry_space_group_name_H-M 'R 3 m'
_symmetry_Int_Tables_number 160
_symmetry_space_group_name_Hall 'R 3 -2"'
_cell_length_a 3.5133
_cell_length_b 3.5133
_cell_length_c 34.3016
_cell_angle_alpha 90.00
_cell_angle_beta 90.00
_cell_angle_gamma 120.00
loop_
_atom_site_label
_atom_site_fract_x
_atom_site_fract_y
_atom_site_fract_z
Nd1 0.0000 0.0000 0.0000
Nd2 0.0000 0.0000 0.1758
Dy1 0.0000 0.0000 0.7555
Zr1 0.0000 0.0000 0.5875
```

No. 5
This record from Alexandria via LeMat-Bulk describes a relaxed structure of RbReNi2S. The functional is PBE.

The formation energy without anion corrections comes out at 1.5258 eV per atom. The total moment comes out at 2.40 μB per formula unit.

The structure in CIF format:
```
data_RbReNi2S
_symmetry_space_group_name_H-M 'P 4/m m m'
_symmetry_Int_Tables_number 123
_symmetry_space_group_name_Hall '-P 4 2'
_cell_length_a 4.5432
_cell_length_b 4.5432
_cell_length_c 6.8026
_cell_angle_alpha 90.00
_cell_angle_beta 90.00
_cell_angle_gamma 90.00
loop_
_atom_site_label
_atom_site_fract_x
_atom_site_fract_y
_atom_site_fract_z
Rb1 0.0000 0.0000 0.0000
Re1 0.0000 0.0000 0.5000
Ni1 0.0000 0.5000 0.5000
S1 0.5000 0.5000 0.0000
```

No. 6
This record from Alexandria via LeMat-Bulk describes a relaxed structure of La7Bi2SbN2. The functional is PBE.

The formation energy without anion corrections comes out at -1.0560 eV per atom. The total moment comes out at 0.00 μB per formula unit.

The structure in CIF format:
```
data_La7Bi2SbN2
_symmetry_space_group_name_H-M 'I 4/m m m'
_symmetry_Int_Tables_number 139
_symmetry_space_group_name_Hall '-I 4 2'
_cell_length_a 5.0511
_cell_length_b 5.0511
_cell_length_c 27.0094
_cell_angle_alpha 90.00
_cell_angle_beta 90.00
_cell_angle_gamma 90.00
loop_
_atom_site_label
_atom_site_fract_x
_atom_site_fract_y
_atom_site_fract_z
La1 0.0000 0.0000 0.0000
La2 0.0000 0.0000 0.1910
La3 0.0000 0.5000 0.0890
Bi1 0.0000 0.0000 0.3183
Sb1 0.0000 0.0000 0.5000
N1 0.0000 0.0000 0.0997
```

No. 7
This record from Alexandria via LeMat-Bulk describes a relaxed structure of NiSe2Br. The functional is PBE.

The formation energy without anion corrections comes out at 0.7598 eV per atom. The total moment comes out at 0.48 μB per formula unit.

The structure in CIF format:
```
data_NiSe2Br
_symmetry_space_group_name_H-M 'F m -3 m'
_symmetry_Int_Tables_number 225
_symmetry_space_group_name_Hall '-F 4 2 3'
_cell_length_a 6.7143
_cell_length_b 6.7143
_cell_length_c 6.7143
_cell_angle_alpha 90.00
_cell_angle_beta 90.00
_cell_angle_gamma 90.00
loop_
_atom_site_label
_atom_site_fract_x
_atom_site_fract_y
_atom_site_fract_z
Ni1 0.0000 0.0000 0.0000
Se1 0.2500 0.2500 0.2500
Br1 0.0000 0.0000 0.5000
```

No. 8
This record from Alexandria via LeMat-Bulk describes a relaxed structure of Nb4IrC2. The functional is PBE.

The calculation puts the formation energy at -476 meV/atom. The total moment comes out at 0.00 μB per formula unit.

The structure in CIF format:
```
data_Nb4IrC2
_symmetry_space_group_name_H-M 'C m c m'
_symmetry_Int_Tables_number 63
_symmetry_space_group_name_Hall '-C 2c 2'
_cell_length_a 3.2262
_cell_length_b 10.8469
_cell_length_c 11.4554
_cell_angle_alpha 90.00
_cell_angle_beta 90.00
_cell_angle_gamma 90.00
loop_
_atom_site_label
_atom_site_fract_x
_atom_site_fract_y
_atom_site_fract_z
Nb1 0.0000 0.0000 0.0000
Nb2 0.0000 0.2648 0.1055
Nb3 0.0000 0.4172 0.7500
Ir1 0.0000 0.1057 0.7500
C1 0.0000 0.3658 0.5612
```

No. 9
This record from Alexandria via LeMat-Bulk describes a relaxed structure of KZn2Pt3. The functional is PBE.

The calculation puts the formation energy at -427 meV/atom. The total moment comes out at 0.00 μB per formula unit.

The structure in CIF format:
```
data_KZn2Pt3
_symmetry_space_group_name_H-M 'P 6/m m m'
_symmetry_Int_Tables_number 191
_symmetry_space_group_name_Hall '-P 6 2'
_cell_length_a 5.6375
_cell_length_b 5.6375
_cell_length_c 4.0872
_cell_angle_alpha 90.00
_cell_angle_beta 90.00
_cell_angle_gamma 120.00
loop_
_atom_site_label
_atom_site_fract_x
_atom_site_fract_y
_atom_site_fract_z
K1 0.0000 0.0000 0.0000
Zn1 0.3333 0.6667 0.0000
Pt1 0.0000 0.5000 0.5000
```

No. 10
This record from Alexandria via LeMat-Bulk describes a relaxed structure of Tm6In6Pb. The functional is PBE.

The calculation puts the formation energy at -271 meV/atom. The total moment comes out at 0.00 μB per formula unit.

The structure in CIF format:
```
data_Tm6In6Pb
_symmetry_space_group_name_H-M 'P 6/m m m'
_symmetry_Int_Tables_number 191
_symmetry_space_group_name_Hall '-P 6 2'
_cell_length_a 6.3190
_cell_length_b 6.3190
_cell_length_c 10.3310
_cell_angle_alpha 90.00
_cell_angle_beta 90.00
_cell_angle_gamma 120.00
loop_
_atom_site_label
_atom_site_fract_x
_atom_site_fract_y
_atom_site_fract_z
Tm1 0.0000 0.0000 0.1795
Tm2 0.3333 0.6667 0.0000
Tm3 0.3333 0.6667 0.5000
In1 0.0000 0.5000 0.2495
Pb1 0.0000 0.0000 0.5000
```

No. 11
This record from Alexandria via LeMat-Bulk describes a relaxed structure of Cs2Tl6HgRh. The functional is PBE.

The calculation puts the formation energy at -7 meV/atom. The total moment comes out at 0.00 μB per formula unit.

The structure in CIF format:
```
data_Cs2Tl6HgRh
_symmetry_space_group_name_H-M 'P -3 m 1'
_symmetry_Int_Tables_number 164
_symmetry_space_group_name_Hall '-P 3 2"'
_cell_length_a 7.4131
_cell_length_b 7.4131
_cell_length_c 7.6156
_cell_angle_alpha 90.00
_cell_angle_beta 90.00
_cell_angle_gamma 120.00
loop_
_atom_site_label
_atom_site_fract_x
_atom_site_fract_y
_atom_site_fract_z
Cs1 0.3333 0.6667 0.1418
Tl1 0.1831 0.3663 0.6824
Hg1 0.0000 0.0000 0.0000
Rh1 0.0000 0.0000 0.5000
```

No. 12
This record from Alexandria via LeMat-Bulk describes a relaxed structure of SmTm2Ag3Se6. The functional is PBE.

The formation energy without anion corrections comes out at -1.1726 eV per atom. The total moment comes out at 0.00 μB per formula unit.

The structure in CIF format:
```
data_SmTm2Ag3Se6
_symmetry_space_group_name_H-M 'C 1 2/m 1'
_symmetry_Int_Tables_number 12
_symmetry_space_group_name_Hall '-C 2y'
_cell_length_a 16.1980
_cell_length_b 4.1883
_cell_length_c 9.9591
_cell_angle_alpha 90.00
_cell_angle_beta 106.75
_cell_angle_gamma 90.00
loop_
_atom_site_label
_atom_site_fract_x
_atom_site_fract_y
_atom_site_fract_z
Sm1 0.0000 0.0000 0.0000
Tm1 0.1645 0.5000 0.3363
Ag1 0.0000 0.0000 0.5000
Ag2 0.1749 0.5000 0.9564
Se1 0.0122 0.5000 0.7984
Se2 0.1580 0.0000 0.5215
Se3 0.1891 0.0000 0.1498
```

What did the third record say?
This record from Alexandria via LeMat-Bulk describes a relaxed structure of CdBiBr3. The functional is PBE.

The formation energy without anion corrections comes out at -0.3542 eV per atom. The total moment comes out at 0.18 μB per formula unit.

The structure in CIF format:
```
data_CdBiBr3
_symmetry_space_group_name_H-M 'P m -3 m'
_symmetry_Int_Tables_number 221
_symmetry_space_group_name_Hall '-P 4 2 3'
_cell_length_a 5.7783
_cell_length_b 5.7783
_cell_length_c 5.7783
_cell_angle_alpha 90.00
_cell_angle_beta 90.00
_cell_angle_gamma 90.00
loop_
_atom_site_label
_atom_site_fract_x
_atom_site_fract_y
_atom_site_fract_z
Cd1 0.0000 0.0000 0.0000
Bi1 0.5000 0.5000 0.5000
Br1 0.0000 0.5000 0.5000
```

> What is the formula in the ninth record?

KZn2Pt3